Record 1
# Ba2MnTcO6 (PBE+U, relaxed)
# - space group = R-3m (166)
# - energy (eV per atom) = -7.2224
# - total moment (μB/cell) = 8.00
# - crystal system = trigonal
data_Ba2MnTcO6
_chemical_formula_sum 'Ba4 Mn2 Tc2 O12'
_cell_length_a 5.894
_cell_length_b 5.894
_cell_length_c 10.260
_cell_angle_alpha 73.31
_cell_angle_beta 73.31
_cell_angle_gamma 60.00
_space_group_name_H-M_alt 'P 1'
_space_group_IT_number 1
loop_
_space_group_symop_operation_xyz
'x,y,z'
loop_
_atom_site_label
_atom_site_type_symbol
_atom_site_fract_x
_atom_site_fract_y
_atom_site_fract_z
Ba1 Ba 0.871 0.871 0.386
Ba2 Ba 0.129 0.129 0.614
Ba3 Ba 0.717 0.717 0.850
Ba4 Ba 0.283 0.283 0.150
Mn1 Mn 0.594 0.594 0.217
Mn2 Mn 0.406 0.406 0.783
Tc1 Tc 0.000 0.000 0.000
Tc2 Tc 0.500 0.500 0.500
O1 O 0.849 0.384 0.382
O2 O 0.384 0.849 0.382
O3 O 0.384 0.384 0.382
O4 O 0.151 0.616 0.618
O5 O 0.616 0.151 0.618
O6 O 0.616 0.616 0.618
O7 O 0.727 0.194 0.885
O8 O 0.194 0.727 0.885
O9 O 0.194 0.194 0.885
O10 O 0.273 0.806 0.115
O11 O 0.806 0.273 0.115
O12 O 0.806 0.806 0.115

***

Record 2
# Ba3Mn2TcO9 (PBE+U, relaxed)
# - space group = P-3m1 (164)
# - energy (eV per atom) = -7.1313
# - total moment (μB/cell) = 8.95
# - crystal system = trigonal
data_Ba3Mn2TcO9
_chemical_formula_sum 'Ba3 Mn2 Tc1 O9'
_cell_length_a 5.787
_cell_length_b 5.787
_cell_length_c 7.141
_cell_angle_alpha 90.00
_cell_angle_beta 90.00
_cell_angle_gamma 120.00
_space_group_name_H-M_alt 'P 1'
_space_group_IT_number 1
loop_
_space_group_symop_operation_xyz
'x,y,z'
loop_
_atom_site_label
_atom_site_type_symbol
_atom_site_fract_x
_atom_site_fract_y
_atom_site_fract_z
Ba1 Ba 0.333 0.667 0.675
Ba2 Ba 0.000 0.000 0.000
Ba3 Ba 0.667 0.333 0.325
Mn1 Mn 0.333 0.667 0.153
Mn2 Mn 0.667 0.333 0.847
Tc1 Tc 0.000 0.000 0.500
O1 O 0.841 0.159 0.655
O2 O 0.841 0.683 0.655
O3 O 0.317 0.159 0.655
O4 O 0.683 0.841 0.345
O5 O 0.159 0.317 0.345
O6 O 0.159 0.841 0.345
O7 O 0.500 0.000 0.000
O8 O 0.000 0.500 0.000
O9 O 0.500 0.500 0.000

***

> Among the records above, which one has the highest total moment?

Ba3Mn2TcO9

***

Repeat the first record exactly.
# Ba2MnTcO6 (PBE+U, relaxed)
# - space group = R-3m (166)
# - energy (eV per atom) = -7.2224
# - total moment (μB/cell) = 8.00
# - crystal system = trigonal
data_Ba2MnTcO6
_chemical_formula_sum 'Ba4 Mn2 Tc2 O12'
_cell_length_a 5.894
_cell_length_b 5.894
_cell_length_c 10.260
_cell_angle_alpha 73.31
_cell_angle_beta 73.31
_cell_angle_gamma 60.00
_space_group_name_H-M_alt 'P 1'
_space_group_IT_number 1
loop_
_space_group_symop_operation_xyz
'x,y,z'
loop_
_atom_site_label
_atom_site_type_symbol
_atom_site_fract_x
_atom_site_fract_y
_atom_site_fract_z
Ba1 Ba 0.871 0.871 0.386
Ba2 Ba 0.129 0.129 0.614
Ba3 Ba 0.717 0.717 0.850
Ba4 Ba 0.283 0.283 0.150
Mn1 Mn 0.594 0.594 0.217
Mn2 Mn 0.406 0.406 0.783
Tc1 Tc 0.000 0.000 0.000
Tc2 Tc 0.500 0.500 0.500
O1 O 0.849 0.384 0.382
O2 O 0.384 0.849 0.382
O3 O 0.384 0.384 0.382
O4 O 0.151 0.616 0.618
O5 O 0.616 0.151 0.618
O6 O 0.616 0.616 0.618
O7 O 0.727 0.194 0.885
O8 O 0.194 0.727 0.885
O9 O 0.194 0.194 0.885
O10 O 0.273 0.806 0.115
O11 O 0.806 0.273 0.115
O12 O 0.806 0.806 0.115

***

> Look up the energy of the first one.

-7.2224 eV per atom